Record 1
Compound: ZrCo4Si2
Source: Alexandria via LeMat-Bulk
Functional: PBE
Structure: optimized geometry

```
ZrCo4Si2
1.0
3.754 0.000 0.000
0.000 5.977 0.000
0.000 0.000 15.555
Co Si Zr
16 8 4
Cartesian
0.939 1.671 10.665
2.816 1.078 12.619
0.939 2.062 0.493
2.816 0.081 1.242
2.816 4.306 4.890
0.939 4.066 10.713
2.816 2.907 9.020
0.939 4.898 2.936
0.939 1.318 2.887
2.816 5.050 7.284
2.816 4.659 12.667
2.816 3.914 15.062
2.816 1.910 4.841
0.939 3.069 6.535
0.939 5.896 14.312
0.939 0.926 8.270
0.939 4.395 8.432
2.816 0.112 3.495
2.816 1.407 14.900
2.816 1.581 7.122
0.939 5.864 12.060
2.816 2.876 11.272
0.939 3.100 4.283
0.939 4.570 0.655
2.816 5.888 9.919
2.816 3.076 2.142
0.939 0.088 5.636
0.939 2.900 13.413
```

Values from the calculation:
- DOS at the Fermi energy: 0.75 states/eV per atom
- Offset from the most stable computed form: 0.041 eV per atom
- Size of the total moment: 0.00 μB per atom
- Energy relative to the elements, uncorrected: -0.5334 eV per atom



Record 2
Compound: DyPuTh2
Source: Alexandria via LeMat-Bulk
Functional: PBE
Structure: optimized geometry

```
DyPuTh2
1.0
3.541 0.000 0.000
0.000 3.541 0.000
0.000 0.000 9.658
Th Pu Dy
2 1 1
Cartesian
0.000 0.000 2.539
0.000 0.000 7.119
1.771 1.771 4.829
1.771 1.771 0.000
```

Values from the calculation:
- Energy of formation: 0.10 eV/atom
- DOS at the Fermi energy: 2.43 states/eV per atom
- Offset from the most stable computed form: 0.004 eV per atom
- Size of the total moment: 1.29 μB per atom



Record 3
Compound: Ca7Pd2Pt2
Source: Alexandria via LeMat-Bulk
Functional: PBE
Structure: optimized geometry

```
Ca7Pd2Pt2
1.0
-1.988 5.510 3.387
-3.761 -4.063 4.402
5.701 -1.919 3.099
Ca Pt Pd
7 2 2
Cartesian
-0.946 -1.229 6.521
-0.141 3.462 6.114
1.949 -2.139 8.018
-1.998 1.666 2.870
0.093 -3.934 4.774
0.898 0.756 4.367
0.000 0.000 0.000
-3.563 -0.665 7.707
3.515 0.193 3.181
-1.210 -1.383 3.373
1.161 0.910 7.515
```

Values from the calculation:
- Energy of formation: -0.54 eV/atom
- DOS at the Fermi energy: 0.66 states/eV per atom
- Size of the total moment: 0.00 μB per atom



Record 4
Compound: CsAsPb2
Source: Alexandria via LeMat-Bulk
Functional: PBE
Structure: optimized geometry

```
CsAsPb2
1.0
5.812 0.000 0.000
0.000 5.812 0.000
2.906 2.906 10.147
As Cs Pb
2 2 4
Cartesian
2.906 2.906 0.000
2.906 5.812 5.073
0.000 0.000 0.000
5.812 2.906 5.073
2.290 4.359 2.537
4.359 5.196 7.610
7.265 6.428 7.610
3.522 1.453 2.537
```

Values from the calculation:
- Energy of formation: 0.02 eV/atom
- DOS at the Fermi energy: 0.03 states/eV per atom
- Size of the total moment: 0.00 μB per atom



Record 5
Compound: SiNi4Pt
Source: Alexandria via LeMat-Bulk
Functional: PBE
Structure: optimized geometry

```
SiNi4Pt
1.0
0.000 3.307 3.307
3.307 0.000 3.307
3.307 3.307 0.000
Si Ni Pt
1 4 1
Cartesian
0.000 0.000 0.000
4.135 4.135 2.480
2.480 4.135 4.135
2.480 2.480 2.480
4.135 2.480 4.135
4.961 4.961 4.961
```

Values from the calculation:
- DOS at the Fermi energy: 1.12 states/eV per atom
- Size of the total moment: 0.24 μB per atom
- Energy relative to the elements, uncorrected: 0.0240 eV per atom



Record 6
Compound: Pm5Er12Th2
Source: Alexandria via LeMat-Bulk
Functional: PBE
Structure: optimized geometry

```
Pm5Er12Th2
1.0
-3.463 -2.830 7.865
8.137 -3.458 -2.866
3.825 6.314 3.956
Pm Er Th
5 12 2
Cartesian
1.912 3.157 1.978
5.197 1.086 2.679
3.302 -1.059 6.277
3.684 3.191 7.975
4.815 -3.165 0.981
8.495 0.158 3.797
8.001 2.753 1.473
0.498 -2.727 7.483
5.977 1.100 6.069
0.004 -0.132 5.159
5.775 -1.964 3.999
3.068 -3.921 5.144
2.724 1.991 4.957
5.431 3.948 3.812
7.214 -0.788 0.730
1.284 0.815 8.226
2.521 -1.073 2.887
-0.719 -0.587 1.632
-2.745 -2.243 6.233
```

Values from the calculation:
- Energy of formation: 0.15 eV/atom
- DOS at the Fermi energy: 1.29 states/eV per atom
- Offset from the most stable computed form: 0.031 eV per atom
- Size of the total moment: 0.00 μB per atom



Record 7
Compound: ScBiSb2
Source: Alexandria via LeMat-Bulk
Functional: PBE
Structure: optimized geometry

```
ScBiSb2
1.0
6.733 0.000 0.000
0.000 6.733 0.000
3.366 3.366 7.015
Sb Bi Sc
4 2 2
Cartesian
8.416 8.236 5.261
5.050 5.230 5.261
1.863 5.050 1.754
4.869 1.683 1.754
0.000 0.000 0.000
6.733 3.366 3.507
3.366 6.733 3.507
3.366 3.366 0.000
```

Values from the calculation:
- DOS at the Fermi energy: 0.04 states/eV per atom
- Size of the total moment: 0.00 μB per atom
- Energy relative to the elements, uncorrected: -0.1180 eV per atom



Record 8
Compound: Sr4TmSe5
Source: Alexandria via LeMat-Bulk
Functional: PBE
Structure: optimized geometry

```
Sr4TmSe5
1.0
5.542 0.000 2.673
2.771 6.870 1.336
-0.214 0.000 7.524
Sr Se Tm
4 5 1
Cartesian
6.516 5.464 7.748
4.937 4.148 3.941
1.594 1.405 3.790
3.173 2.721 7.597
4.421 1.294 5.010
5.896 2.592 9.034
2.774 0.000 1.338
2.214 4.277 2.505
3.689 5.575 6.528
0.008 0.000 0.004
```

Values from the calculation:
- DOS at the Fermi energy: 0.26 states/eV per atom
- Size of the total moment: 0.00 μB per atom
- Energy relative to the elements, uncorrected: -1.9501 eV per atom



Record 9
Compound: NdMgPd
Source: Alexandria via LeMat-Bulk
Functional: PBE
Structure: optimized geometry

```
NdMgPd
1.0
-1.665 3.433 -1.500
-3.762 1.061 6.607
7.009 2.985 -0.949
Nd Pd Mg
3 3 3
Cartesian
-3.034 2.338 3.117
3.269 3.463 -1.305
0.514 3.395 1.597
-0.833 1.716 -0.750
-0.172 1.703 4.088
3.418 2.344 1.570
2.468 3.077 4.302
1.680 0.715 -0.227
-0.902 0.254 1.584
```

Values from the calculation:
- Energy of formation: -0.65 eV/atom
- DOS at the Fermi energy: 0.67 states/eV per atom
- Size of the total moment: 0.00 μB per atom



Record 10
Compound: EuTm3Pd
Source: Alexandria via LeMat-Bulk
Functional: PBE
Structure: optimized geometry

```
EuTm3Pd
1.0
-1.302 0.627 5.261
-1.109 -5.330 0.361
5.181 -0.983 1.399
Tm Eu Pd
3 1 1
Cartesian
-0.651 0.314 2.631
-0.555 -2.665 0.181
2.590 -0.492 0.700
1.385 -2.843 3.511
0.000 0.000 0.000
```

Values from the calculation:
- Energy of formation: -0.22 eV/atom
- DOS at the Fermi energy: 1.32 states/eV per atom
- Size of the total moment: 1.53 μB per atom



Record 11
Compound: TlTcAu2
Source: Alexandria via LeMat-Bulk
Functional: PBE
Structure: optimized geometry

```
TlTcAu2
1.0
10.016 -0.036 -0.021
9.577 2.931 -0.021
9.577 1.415 2.566
Au Tc Tl
2 1 1
Cartesian
14.838 2.192 1.284
28.917 4.272 2.502
7.293 1.077 0.631
21.878 3.232 1.893
```

Values from the calculation:
- Energy of formation: 0.49 eV/atom
- DOS at the Fermi energy: 1.40 states/eV per atom
- Offset from the most stable computed form: 0.085 eV per atom
- Size of the total moment: 0.07 μB per atom



Record 12
Compound: CsVCdBr6
Source: Alexandria via LeMat-Bulk
Functional: PBE
Structure: optimized geometry

```
CsVCdBr6
1.0
-0.797 4.393 5.449
3.605 -1.083 5.954
6.049 4.602 -2.825
V Br Cd Cs
1 6 1 1
Cartesian
4.897 4.507 6.190
7.351 3.799 5.962
2.517 5.302 6.716
4.898 3.204 8.397
5.684 6.738 7.178
3.900 2.448 5.032
5.033 5.552 3.852
3.961 3.404 2.389
5.252 8.995 2.624
```

Values from the calculation:
- DOS at the Fermi energy: 1.04 states/eV per atom
- Size of the total moment: 0.22 μB per atom
- Energy relative to the elements, uncorrected: -1.0649 eV per atom



Record 13
Compound: SbBr3N2
Source: Alexandria via LeMat-Bulk
Functional: PBE
Structure: optimized geometry

```
SbBr3N2
1.0
-3.317 -1.115 -5.232
4.529 -7.190 -1.341
-7.307 -4.911 1.660
Sb Br N
2 6 4
Cartesian
-2.147 -2.907 -5.463
-3.948 -10.308 0.550
-1.829 -3.200 -2.826
0.848 -4.882 -0.443
-6.943 -8.334 -4.471
-8.899 -5.229 -3.893
-4.266 -10.016 -2.087
2.804 -7.986 -1.021
-5.204 -5.152 -3.761
-6.632 -6.608 -0.756
0.537 -6.607 -4.158
-0.891 -8.063 -1.152
```

Values from the calculation:
- Size of the total moment: 1.00 μB per atom
- Energy relative to the elements, uncorrected: 1.2954 eV per atom



Record 14
Compound: TlCuC
Source: Alexandria via LeMat-Bulk
Functional: PBE
Structure: optimized geometry

```
TlCuC
1.0
3.423 -1.976 0.000
0.000 3.952 0.000
0.000 0.000 7.012
C Cu Tl
2 2 2
Cartesian
2.282 0.000 1.753
1.141 1.976 5.259
0.000 0.000 0.000
0.000 0.000 3.506
1.141 1.976 1.753
2.282 0.000 5.259
```

Values from the calculation:
- Energy of formation: 1.79 eV/atom
- DOS at the Fermi energy: 0.14 states/eV per atom
- Size of the total moment: 0.00 μB per atom



Record 15
Compound: Cs3Al2Te4
Source: Alexandria via LeMat-Bulk
Functional: PBE
Structure: optimized geometry

```
Cs3Al2Te4
1.0
-3.144 -5.550 6.231
8.619 -4.141 2.614
2.911 5.113 7.978
Te Al Cs
8 4 6
Cartesian
1.027 0.341 8.725
6.444 -0.943 9.840
6.023 -2.436 2.392
2.363 -2.141 14.431
7.359 -4.919 8.098
2.949 0.056 4.398
5.437 -4.633 12.425
1.942 -3.635 6.983
1.041 -6.015 8.268
1.272 -1.066 6.412
7.345 1.437 8.555
7.113 -3.511 10.411
10.439 -0.889 9.027
7.361 -1.221 13.558
2.827 -2.736 10.514
5.559 -1.842 6.309
-2.053 -3.688 7.796
1.025 -3.356 3.265
```

Values from the calculation:
- DOS at the Fermi energy: 0.39 states/eV per atom
- Size of the total moment: 0.00 μB per atom
- Energy relative to the elements, uncorrected: -0.7768 eV per atom



Record 16
Compound: Pm2CuRuC
Source: Alexandria via LeMat-Bulk
Functional: PBE
Structure: optimized geometry

```
Pm2CuRuC
1.0
-1.525 2.849 -2.139
0.545 -2.870 -4.211
-4.679 -1.958 0.728
Pm Cu Ru C
2 1 1 1
Cartesian
-2.340 -0.979 0.364
0.273 -1.435 -2.105
-2.830 -0.989 -2.811
-0.763 1.425 -1.070
0.000 0.000 0.000
```

Values from the calculation:
- Energy of formation: -0.21 eV/atom
- DOS at the Fermi energy: 0.61 states/eV per atom
- Size of the total moment: 0.00 μB per atom



Record 17
Compound: Tl2CoNi
Source: Alexandria via LeMat-Bulk
Functional: PBE
Structure: optimized geometry

```
Tl2CoNi
1.0
-3.327 -4.170 1.598
-1.868 -3.838 -3.578
4.757 2.477 1.500
Tl Co Ni
2 1 1
Cartesian
0.146 -2.683 -1.533
0.000 0.000 0.000
-2.598 -4.004 -0.990
-0.584 -2.849 1.055
```

Values from the calculation:
- Energy of formation: 0.56 eV/atom
- DOS at the Fermi energy: 1.42 states/eV per atom
- Offset from the most stable computed form: 0.165 eV per atom
- Size of the total moment: 0.20 μB per atom



Record 18
Compound: Ga3OsBr
Source: Alexandria via LeMat-Bulk
Functional: PBE
Structure: optimized geometry

```
Ga3OsBr
1.0
-0.067 4.101 -2.653
-4.782 -0.596 -0.800
-0.996 2.586 4.022
Br Os Ga
1 1 3
Cartesian
-2.922 3.046 0.284
0.000 0.000 0.000
-0.033 2.050 -1.327
-0.498 1.293 2.011
-2.391 -0.298 -0.400
```

Values from the calculation:
- DOS at the Fermi energy: 0.33 states/eV per atom
- Offset from the most stable computed form: 0.000 eV per atom
- Size of the total moment: 0.00 μB per atom
- Energy relative to the elements, uncorrected: -0.0935 eV per atom



Record 19
Compound: TaAs
Source: Alexandria via LeMat-Bulk
Functional: PBE
Structure: optimized geometry

```
TaAs
1.0
10.604 0.000 0.000
0.000 10.604 0.000
0.000 0.000 3.888
Ta As
8 8
Cartesian
5.777 1.359 0.000
2.104 6.878 1.944
9.245 5.777 0.000
1.359 4.827 0.000
4.827 9.245 0.000
8.500 3.725 1.944
3.725 2.104 1.944
6.878 8.500 1.944
4.503 7.605 1.944
7.481 10.038 0.000
0.566 7.481 0.000
2.999 4.503 1.944
7.605 6.101 1.944
6.101 2.999 1.944
3.123 0.566 0.000
10.038 3.123 0.000
```

Values from the calculation:
- Energy of formation: 0.11 eV/atom
- DOS at the Fermi energy: 0.52 states/eV per atom
- Size of the total moment: 0.00 μB per atom



Record 20
Compound: PmSmAl
Source: Alexandria via LeMat-Bulk
Functional: PBE
Structure: optimized geometry

```
PmSmAl
1.0
3.505 0.000 0.000
0.000 3.505 0.000
-1.753 -1.753 6.959
Sm Pm Al
1 1 1
Cartesian
0.000 0.000 0.290
0.000 0.000 4.358
1.753 1.753 2.311
```

Values from the calculation:
- Energy of formation: -0.21 eV/atom
- DOS at the Fermi energy: 0.84 states/eV per atom
- Offset from the most stable computed form: 0.000 eV per atom
- Size of the total moment: 0.00 μB per atom



Record 21
Compound: ErPa3N
Source: Alexandria via LeMat-Bulk
Functional: PBE
Structure: optimized geometry

```
ErPa3N
1.0
4.826 0.000 0.000
0.000 4.826 0.000
0.000 0.000 4.826
Pa Er N
3 1 1
Cartesian
0.000 2.413 0.000
2.413 0.000 0.000
0.000 0.000 2.413
2.413 2.413 2.413
0.000 0.000 0.000
```

Values from the calculation:
- DOS at the Fermi energy: 1.13 states/eV per atom
- Size of the total moment: 0.00 μB per atom
- Energy relative to the elements, uncorrected: -0.4987 eV per atom



Record 22
Compound: Na8Bi2Te
Source: Alexandria via LeMat-Bulk
Functional: PBE
Structure: optimized geometry

```
Na8Bi2Te
1.0
-5.263 0.359 -1.275
-1.791 -3.126 6.514
3.193 8.787 0.844
Na Te Bi
8 1 2
Cartesian
-1.302 -2.270 4.734
0.190 5.921 0.883
-3.203 1.577 2.116
-4.051 0.100 5.200
-3.735 3.271 4.791
-0.125 2.749 1.291
-2.559 8.291 1.349
-0.658 4.444 3.967
-2.631 0.180 -0.637
-2.846 4.949 1.595
-1.014 1.072 4.488
```

Values from the calculation:
- DOS at the Fermi energy: 0.11 states/eV per atom
- Size of the total moment: 0.00 μB per atom
- Energy relative to the elements, uncorrected: -0.5069 eV per atom



Record 23
Compound: KSr2Br
Source: Alexandria via LeMat-Bulk
Functional: PBE
Structure: optimized geometry

```
KSr2Br
1.0
-5.605 -4.235 3.553
0.210 -1.734 7.676
0.790 6.153 -4.846
K Sr Br
1 2 1
Cartesian
-3.756 -0.533 2.160
-0.849 0.717 4.222
0.000 0.000 0.000
-2.698 -2.985 5.614
```

Values from the calculation:
- DOS at the Fermi energy: 0.49 states/eV per atom
- Size of the total moment: 0.00 μB per atom
- Energy relative to the elements, uncorrected: -0.3819 eV per atom



Q: Which final energy values were calculated for the entries above? A: -206.2; -33.4; -42.4; -25.7; -34.4; -90.5; -37.9; -48.1; -40.6; -30.0; -17.3; -30.5; -36.0; -20.6; -59.2; -33.1; -15.4; -22.5; -130.2; -13.8; -43.9; -27.0; -7.7, in eV for the cell shown.